1.
VASP calculation (meta-GGA SCAN) on a crystal of Ni6MoPt relaxed with PBEsol.

abc: 6.2058 6.2058 10.1478
angles: 90.00 90.00 109.43
Element x y z (fractional)
1 Ni 0.6205 0.8685 0.3718
2 Ni 0.3785 0.1269 0.1219
3 Ni 0.8731 0.6215 0.8781
4 Ni 0.6215 0.8731 0.8781
5 Ni 0.5000 0.5000 0.0000
6 Ni 0.1269 0.3785 0.8781
7 Ni 0.5000 0.5000 0.5000
8 Ni 0.1315 0.3795 0.6282
9 Ni 0.3795 0.1315 0.6282
10 Ni 0.8685 0.6205 0.3718
11 Ni 0.1315 0.3795 0.3718
12 Ni 0.3785 0.1269 0.8781
13 Ni 0.6215 0.8731 0.1219
14 Ni 0.0000 0.0000 0.5000
15 Ni 0.7476 0.2524 0.2442
16 Ni 0.3795 0.1315 0.3718
17 Ni 0.0000 0.0000 0.0000
18 Ni 0.2524 0.7476 0.2442
19 Ni 0.1269 0.3785 0.1219
20 Ni 0.6205 0.8685 0.6282
21 Ni 0.7476 0.2524 0.7558
22 Ni 0.2524 0.7476 0.7558
23 Ni 0.8685 0.6205 0.6282
24 Ni 0.8731 0.6215 0.1219
25 Mo 0.2536 0.7464 0.0000
26 Mo 0.7464 0.2536 0.0000
27 Mo 0.5000 0.5000 0.7449
28 Mo 0.5000 0.5000 0.2551
29 Pt 0.7507 0.2493 0.5000
30 Pt 0.0000 0.0000 0.7481
31 Pt 0.0000 0.0000 0.2519
32 Pt 0.2493 0.7507 0.5000

Output
Formation enthalpy at 0 K: 0.002 eV per atom
Total energy: -25.262 eV/atom
Density of states at the Fermi level: 31.355 states/eV/cell
Magnetization: 0.001 μB per formula unit
SG: Cmmm (65)

***

2.
VASP calculation (meta-GGA SCAN) on a crystal of NiMo2Pt relaxed with PBEsol.

abc: 2.6711 2.6711 7.8347
angles: 90.00 90.00 90.00
Element x y z (fractional)
1 Mo 0.5000 0.5000 0.2755
2 Mo 0.0000 0.0000 0.9895
3 Pt 0.5000 0.5000 0.7391
4 Ni 0.0000 0.0000 0.4959

Output
Formation enthalpy at 0 K: -0.111 eV per atom
Total energy: -39.145 eV/atom
Density of states at the Fermi level: 3.083 states/eV/cell
Magnetization: 0.000 μB per formula unit
SG: P4mm (99)
Excess energy over the best structure of this formula in the dataset: 96.5 meV/atom

***

3.
VASP calculation (meta-GGA SCAN) on a crystal of Ni4MoPt relaxed with PBEsol.

abc: 4.6291 4.6291 4.6291
angles: 60.00 60.00 60.00
Each line ends with the local moment (μB).
Element x y z (fractional)
1 Ni 0.3746 0.3746 0.3746  0.43
2 Ni 0.8761 0.3746 0.3746  0.43
3 Ni 0.3746 0.3746 0.8761  0.43
4 Ni 0.3746 0.8761 0.3746  0.43
5 Mo 0.0000 0.0000 0.0000  0.00
6 Pt 0.7500 0.7500 0.7500  -0.02

Output
Formation enthalpy at 0 K: -0.103 eV per atom
Total energy: -28.398 eV/atom
Density of states at the Fermi level: 3.600 states/eV/cell
Magnetization: 1.580 μB per formula unit
SG: F-43m (216)

***

4.
VASP calculation (meta-GGA SCAN) on a crystal of NiMo2Pt relaxed with PBEsol.

abc: 3.8679 3.8679 4.6353
angles: 114.66 114.66 90.00
Element x y z (fractional)
1 Pt 0.2500 0.7500 0.5000
2 Mo 0.7500 0.2500 0.5000
3 Mo 0.5000 0.5000 0.0000
4 Ni 0.0000 0.0000 0.0000

Output
Formation enthalpy at 0 K: -0.055 eV per atom
Total energy: -39.090 eV/atom
Density of states at the Fermi level: 5.337 states/eV/cell
Magnetization: 0.001 μB per formula unit
SG: I-4m2 (119)
Excess energy over the best structure of this formula in the dataset: 151.8 meV/atom

***

5.
VASP calculation (meta-GGA SCAN) on a crystal of Ni2MoPt relaxed with PBEsol.

abc: 2.6662 2.6662 7.1515
angles: 90.00 90.00 90.00
Each line ends with the local moment (μB).
Element x y z (fractional)
1 Ni 0.5000 0.5000 0.7682  0.72
2 Ni 0.0000 0.0000 0.9895  0.22
3 Mo 0.5000 0.5000 0.2309  0.00
4 Pt 0.0000 0.0000 0.5115  0.09

Output
Formation enthalpy at 0 K: -0.087 eV per atom
Total energy: -34.444 eV/atom
Density of states at the Fermi level: 5.235 states/eV/cell
Magnetization: 0.963 μB per formula unit
SG: P4mm (99)

***

6.
VASP calculation (meta-GGA SCAN) on a crystal of NiMo2Pt relaxed with PBEsol.

abc: 2.6570 4.7774 4.7774
angles: 113.40 90.00 90.00
Element x y z (fractional)
1 Ni 0.5000 0.5000 0.5000
2 Pt 0.5000 0.0000 0.0000
3 Mo 0.0000 0.0000 0.5000
4 Mo 0.0000 0.5000 0.0000

Output
Formation enthalpy at 0 K: -0.157 eV per atom
Total energy: -39.191 eV/atom
Density of states at the Fermi level: 3.085 states/eV/cell
Magnetization: 0.001 μB per formula unit
SG: Cmmm (65)
Excess energy over the best structure of this formula in the dataset: 50.3 meV/atom

***

Q: Which of these has the highest magnetization?
A: Ni4MoPt